[1]
# Sr2Li6Al | Alexandria | PBE | optimized geometry
data_Sr2Li6Al
_chemical_formula_sum 'Sr4 Li12 Al2'
_symmetry_space_group_name_H-M 'C 1 2/m 1'
_symmetry_Int_Tables_number 12
_cell_length_a 10.794
_cell_length_b 6.183
_cell_length_c 7.174
_cell_angle_alpha 90.00
_cell_angle_beta 102.94
_cell_angle_gamma 90.00
loop_
_symmetry_equiv_pos_as_xyz
'x,y,z'
'-x,-y,-z'
'-x,y,-z'
'x,-y,z'
'x+1/2,y+1/2,z'
'-x+1/2,-y+1/2,-z'
'-x+1/2,y+1/2,-z'
'x+1/2,-y+1/2,z'
loop_
_atom_site_label
_atom_site_fract_x
_atom_site_fract_y
_atom_site_fract_z
Sr1 0.151 0.000 0.377
Li1 0.109 0.500 0.181
Li2 0.132 0.250 0.846
Al1 0.000 0.500 0.500
# - total energy (eV per atom) = -2.095

[2]
# Sr2LiAl | Alexandria | PBE | optimized geometry
data_Sr2LiAl
_chemical_formula_sum 'Sr4 Li2 Al2'
_symmetry_space_group_name_H-M 'I m m m'
_symmetry_Int_Tables_number 71
_symmetry_space_group_name_Hall '-I 2 2'
_cell_length_a 3.791
_cell_length_b 6.438
_cell_length_c 13.414
_cell_angle_alpha 90.00
_cell_angle_beta 90.00
_cell_angle_gamma 90.00
loop_
_atom_site_label
_atom_site_fract_x
_atom_site_fract_y
_atom_site_fract_z
Sr1 0.000 0.000 0.243
Li1 0.000 0.000 0.500
Al1 0.000 0.000 0.000
# - total energy (eV per atom) = -1.714

[3]
# Sr2LiAl | Alexandria | PBE | optimized geometry
data_Sr2LiAl
_chemical_formula_sum 'Sr2 Li1 Al1'
_symmetry_space_group_name_H-M 'P 4/m m m'
_symmetry_Int_Tables_number 123
_symmetry_space_group_name_Hall '-P 4 2'
_cell_length_a 4.026
_cell_length_b 4.026
_cell_length_c 8.348
_cell_angle_alpha 90.00
_cell_angle_beta 90.00
_cell_angle_gamma 90.00
loop_
_atom_site_label
_atom_site_fract_x
_atom_site_fract_y
_atom_site_fract_z
Sr1 0.000 0.000 0.225
Li1 0.500 0.500 0.500
Al1 0.500 0.500 0.000
# - total energy (eV per atom) = -2.309

[4]
# SrLiAl3 | Alexandria | PBE | optimized geometry
data_SrLiAl3
_chemical_formula_sum 'Sr1 Li1 Al3'
_symmetry_space_group_name_H-M 'P m -3 m'
_symmetry_Int_Tables_number 221
_symmetry_space_group_name_Hall '-P 4 2 3'
_cell_length_a 5.918
_cell_length_b 5.918
_cell_length_c 5.918
_cell_angle_alpha 90.00
_cell_angle_beta 90.00
_cell_angle_gamma 90.00
loop_
_atom_site_label
_atom_site_fract_x
_atom_site_fract_y
_atom_site_fract_z
Sr1 0.000 0.000 0.000
Li1 0.500 0.500 0.500
Al1 0.000 0.000 0.500
# - total energy (eV per atom) = -1.787

[5]
# Sr6LiAl2 | Alexandria | PBE | optimized geometry
data_Sr6LiAl2
_chemical_formula_sum 'Sr24 Li4 Al8'
_symmetry_space_group_name_H-M 'I m m m'
_symmetry_Int_Tables_number 71
_symmetry_space_group_name_Hall '-I 2 2'
_cell_length_a 10.898
_cell_length_b 11.250
_cell_length_c 12.185
_cell_angle_alpha 90.00
_cell_angle_beta 90.00
_cell_angle_gamma 90.00
loop_
_atom_site_label
_atom_site_fract_x
_atom_site_fract_y
_atom_site_fract_z
Sr1 0.000 0.199 0.181
Sr2 0.186 0.226 0.500
Sr3 0.211 0.500 0.260
Li1 0.000 0.500 0.000
Li2 0.000 0.500 0.500
Al1 0.000 0.000 0.393
Al2 0.126 0.000 0.000
# - total energy (eV per atom) = -2.220

[6]
# Sr6LiAl | Alexandria | PBE | optimized geometry
data_Sr6LiAl
_chemical_formula_sum 'Sr12 Li2 Al2'
_symmetry_space_group_name_H-M 'I 4/m m m'
_symmetry_Int_Tables_number 139
_symmetry_space_group_name_Hall '-I 4 2'
_cell_length_a 5.820
_cell_length_b 5.820
_cell_length_c 20.616
_cell_angle_alpha 90.00
_cell_angle_beta 90.00
_cell_angle_gamma 90.00
loop_
_atom_site_label
_atom_site_fract_x
_atom_site_fract_y
_atom_site_fract_z
Sr1 0.000 0.000 0.250
Sr2 0.000 0.500 0.095
Li1 0.000 0.000 0.000
Al1 0.000 0.000 0.500
# - total energy (eV per atom) = -1.989

[7]
# SrLiAl | Alexandria | PBE | optimized geometry
data_SrLiAl
_chemical_formula_sum 'Sr12 Li12 Al12'
_symmetry_space_group_name_H-M 'I m a 2'
_symmetry_Int_Tables_number 46
_cell_length_a 9.479
_cell_length_b 13.168
_cell_length_c 7.660
_cell_angle_alpha 90.00
_cell_angle_beta 90.00
_cell_angle_gamma 90.00
loop_
_symmetry_equiv_pos_as_xyz
'x,y,z'
'-x,-y,z'
'-x+1/2,y,z'
'x+1/2,-y,z'
'x+1/2,y+1/2,z+1/2'
'-x+1/2,-y+1/2,z+1/2'
'-x,y+1/2,z+1/2'
'x,-y+1/2,z+1/2'
loop_
_atom_site_label
_atom_site_fract_x
_atom_site_fract_y
_atom_site_fract_z
Sr1 0.250 0.000 0.000
Sr2 0.250 0.204 0.385
Sr3 0.250 0.705 0.885
Li1 0.000 0.168 0.090
Li2 0.250 0.000 0.591
Al1 0.000 0.000 0.379
Al2 0.000 0.106 0.697
# - total energy (eV per atom) = -2.530

[8]
# SrLiAl3 | Alexandria | PBE | optimized geometry
data_SrLiAl3
_chemical_formula_sum 'Sr4 Li4 Al12'
_symmetry_space_group_name_H-M 'C m c m'
_symmetry_Int_Tables_number 63
_symmetry_space_group_name_Hall '-C 2c 2'
_cell_length_a 6.738
_cell_length_b 11.161
_cell_length_c 6.031
_cell_angle_alpha 90.00
_cell_angle_beta 90.00
_cell_angle_gamma 90.00
loop_
_atom_site_label
_atom_site_fract_x
_atom_site_fract_y
_atom_site_fract_z
Sr1 0.000 0.231 0.250
Li1 0.000 0.095 0.750
Al1 0.000 0.341 0.750
Al2 0.202 0.500 0.000
# - total energy (eV per atom) = -3.136

[9]
# SrLi7Al5 | Alexandria | PBE | optimized geometry
data_SrLi7Al5
_chemical_formula_sum 'Sr2 Li14 Al10'
_symmetry_space_group_name_H-M 'I m m 2'
_symmetry_Int_Tables_number 44
_cell_length_a 5.530
_cell_length_b 9.397
_cell_length_c 9.598
_cell_angle_alpha 90.00
_cell_angle_beta 90.00
_cell_angle_gamma 90.00
loop_
_symmetry_equiv_pos_as_xyz
'x,y,z'
'-x,-y,z'
'-x,y,z'
'x,-y,z'
'x+1/2,y+1/2,z+1/2'
'-x+1/2,-y+1/2,z+1/2'
'-x+1/2,y+1/2,z+1/2'
'x+1/2,-y+1/2,z+1/2'
loop_
_atom_site_label
_atom_site_fract_x
_atom_site_fract_y
_atom_site_fract_z
Sr1 0.000 0.000 0.000
Li1 0.000 0.000 0.344
Li2 0.000 0.000 0.651
Li3 0.000 0.283 0.499
Li4 0.000 0.351 0.005
Li5 0.000 0.500 0.728
Al1 0.000 0.500 0.282
Al2 0.247 0.247 0.751
# - total energy (eV per atom) = -2.754

[10]
# SrLi4Al | Alexandria | PBE | optimized geometry
data_SrLi4Al
_chemical_formula_sum 'Sr4 Li16 Al4'
_symmetry_space_group_name_H-M 'F -4 3 m'
_symmetry_Int_Tables_number 216
_symmetry_space_group_name_Hall 'F -4 2 3'
_cell_length_a 8.042
_cell_length_b 8.042
_cell_length_c 8.042
_cell_angle_alpha 90.00
_cell_angle_beta 90.00
_cell_angle_gamma 90.00
loop_
_atom_site_label
_atom_site_fract_x
_atom_site_fract_y
_atom_site_fract_z
Sr1 0.000 0.000 0.000
Li1 0.122 0.122 0.378
Al1 0.250 0.250 0.750
# - total energy (eV per atom) = -2.210

[11]
# SrLi14Al | Alexandria | PBE | optimized geometry
data_SrLi14Al
_chemical_formula_sum 'Sr2 Li28 Al2'
_symmetry_space_group_name_H-M 'C m m m'
_symmetry_Int_Tables_number 65
_symmetry_space_group_name_Hall '-C 2 2'
_cell_length_a 8.612
_cell_length_b 9.214
_cell_length_c 8.393
_cell_angle_alpha 90.00
_cell_angle_beta 90.00
_cell_angle_gamma 90.00
loop_
_atom_site_label
_atom_site_fract_x
_atom_site_fract_y
_atom_site_fract_z
Sr1 0.000 0.000 0.000
Li1 0.000 0.000 0.500
Li2 0.000 0.276 0.256
Li3 0.000 0.500 0.500
Li4 0.226 0.500 0.262
Li5 0.250 0.250 0.000
Li6 0.250 0.250 0.500
Al1 0.000 0.500 0.000
# - total energy (eV per atom) = -1.991

[12]
# Sr2LiAl | Alexandria | PBE | optimized geometry
data_Sr2LiAl
_chemical_formula_sum 'Sr4 Li2 Al2'
_symmetry_space_group_name_H-M 'C 1 m 1'
_symmetry_Int_Tables_number 8
_cell_length_a 12.665
_cell_length_b 3.945
_cell_length_c 5.743
_cell_angle_alpha 90.00
_cell_angle_beta 112.62
_cell_angle_gamma 90.00
loop_
_symmetry_equiv_pos_as_xyz
'x,y,z'
'x,-y,z'
'x+1/2,y+1/2,z'
'x+1/2,-y+1/2,z'
loop_
_atom_site_label
_atom_site_fract_x
_atom_site_fract_y
_atom_site_fract_z
Sr1 0.000 0.000 0.000
Sr2 0.204 0.000 0.675
Li1 0.293 0.500 0.268
Al1 0.460 0.000 0.470
# - total energy (eV per atom) = -2.281

no.,total magnetization (μB per cell),energy relative to the elements (eV per atom)
1,0.0,-0.030
2,0.0,0.541
3,0.0,-0.054
4,0.0,1.178
5,0.0,-0.054
6,0.0,-0.021
7,0.0,-0.084
8,0.0,-0.172
9,0.0,-0.154
10,0.8,-0.030
11,0.0,0.022
12,0.0,-0.026